1.
Compound: NaV2ZnCl
Source: the Alexandria database
Functional: PBE
Structure: optimized geometry

abc: 5.244 5.244 4.945
angles: 90.00 90.00 90.00
Space group P4/mmm (No. 123)
Inequivalent atoms, fractional coordinates:
1 Na 0.000 0.000 0.000 (multiplicity 1)
2 V 0.000 0.500 0.000 (multiplicity 2)
3 Zn 0.000 0.000 0.500 (multiplicity 1)
4 Cl 0.500 0.500 0.500 (multiplicity 1)

* VASP energy: -3.022 eV per atom
* size of the total moment: 8.14 μB/cell

2.
Compound: YTiHO2
Source: the Alexandria database
Functional: PBE
Structure: optimized geometry

abc: 4.119 4.119 3.093
angles: 90.00 90.00 90.00
Space group P4/mmm (No. 123)
Inequivalent atoms, fractional coordinates:
1 Y 0.000 0.000 0.000 (multiplicity 1)
2 Ti 0.500 0.500 0.000 (multiplicity 1)
3 H 0.500 0.500 0.500 (multiplicity 1)
4 O 0.000 0.500 0.500 (multiplicity 2)

* VASP energy: -6.633 eV per atom
* size of the total moment: 0.00 μB/cell

3.
Compound: TmSc2Pt3
Source: the Alexandria database
Functional: PBE
Structure: optimized geometry

abc: 3.324 3.324 10.198
angles: 90.00 90.00 90.00
Space group P4/mmm (No. 123)
Inequivalent atoms, fractional coordinates:
1 Tm 0.000 0.000 0.000 (multiplicity 1)
2 Sc 0.000 0.000 0.338 (multiplicity 2)
3 Pt 0.500 0.500 0.182 (multiplicity 2)
4 Pt 0.500 0.500 0.500 (multiplicity 1)

* ΔH_f (0 K): -1.25 eV/atom
* VASP energy: -7.127 eV per atom
* size of the total moment: 0.00 μB/cell

> The highest VASP energy belongs to which entry?

NaV2ZnCl

> What is the size of the total moment in the first record?

8.14 μB/cell